No. 1
Below is a geometry-optimized DyScRh structure, with properties calculated at the PBE-GGA level.

The structure in extended XYZ format:
```
3
Lattice="-1.776 -1.186 -2.978 3.799 -1.975 -1.479 -2.875 -2.307 2.633" Properties=species:S:1:pos:R:3 pbc="T T T"
Dy 0.309 -2.930 -2.229
Rh -0.061 -0.041 -0.102
Sc -1.101 -2.497 0.508
```

Summary:
Energy above the most stable polymorph in this dataset = 264 meV/atom
Magnetization = 0.000 μB per atom
N(E_F) = 1.0417 states/eV/atom
Calculated formation energy = -0.431 eV/atom

No. 2
Below is a geometry-optimized TlZn2BiCl8 structure, with properties calculated at the PBE-GGA level.

The structure in extended XYZ format:
```
12
Lattice="-4.964 -0.082 -4.169 -0.867 -5.099 -3.909 -7.559 -5.963 4.078" Properties=species:S:1:pos:R:3 pbc="T T T"
Zn -10.043 -8.358 -2.999
Zn -3.347 -2.786 -1.000
Cl -9.880 -5.356 0.191
Cl -8.866 -8.621 -1.011
Cl -4.618 -3.744 0.532
Cl -3.510 -5.788 -4.190
Cl -6.960 -6.978 1.598
Cl -4.525 -2.522 -2.988
Cl -6.430 -4.165 -5.597
Cl -8.772 -7.399 -4.532
Tl -6.695 -5.572 -2.000
Bi 0.000 0.000 0.000
```

Summary:
Magnetization = 0.000 μB per atom
Formation energy from raw total energies = -1.04 eV/atom
N(E_F) = 0.0000 states/eV/atom

- Which of these has the lowest N(E_F)?
  TlZn2BiCl8